The following is a PBE calculation of a relaxed SnB2Rh2 crystal, from Alexandria via LeMat-Bulk.

Structure (extended XYZ):
```
5
Lattice="3.0552 0.0000 0.0000 0.0000 3.0552 0.0000 1.5276 1.5276 6.8894" Properties=species:S:1:pos:R:3 pbc="T T T"
B 3.0552 1.5276 3.4447
B 1.5276 3.0552 3.4447
Rh 1.5276 1.5276 1.9323
Rh 3.0552 3.0552 4.9571
Sn 0.0000 0.0000 0.0000
```

Computed properties:
ΔH_f (0 K)	-172	meV per atom
calculated volume	12.86	Å³ per atom
magnetic moment	0.00	μB/cell

---

The following is a PBE calculation of a relaxed HPtW2 crystal, from Alexandria via LeMat-Bulk.

Structure (extended XYZ):
```
4
Lattice="-1.8977 0.2980 -2.0433 -0.1504 -1.8956 -2.0614 -5.8159 -4.6557 2.7980" Properties=species:S:1:pos:R:3 pbc="T T T"
H -3.9320 -3.1267 -0.6534
W -4.0671 -3.2510 1.3786
W -3.7970 -3.0024 -2.6853
Pt 0.0000 0.0000 0.0000
```

Computed properties:
polymorph energy (0 for the lowest one)	262	meV per atom
calculated volume	13.27	Å³ per atom
magnetic moment	0.00	μB/cell

---

The following is a PBE calculation of a relaxed CdSe2Br crystal, from Alexandria via LeMat-Bulk.

Structure (extended XYZ):
```
4
Lattice="11.8778 0.0512 0.0300 11.4077 3.3091 0.0300 11.4077 1.6462 2.8707" Properties=species:S:1:pos:R:3 pbc="T T T"
Br 8.6733 1.2516 0.7327
Cd 26.0199 3.7549 2.1980
Se 0.8259 0.1192 0.0698
Se 16.5207 2.3841 1.3956
```

Computed properties:
uncorrected formation energy	21.8	kJ per mole of atoms
polymorph energy (0 for the lowest one)	523	meV per atom
calculated volume	27.51	Å³ per atom
magnetic moment	0.21	μB/cell

---

The following is a PBE calculation of a relaxed LaPrNdTh crystal, from Alexandria via LeMat-Bulk.

Structure (extended XYZ):
```
4
Lattice="3.6352 0.0000 0.0000 0.0000 3.6352 0.0000 0.0000 0.0000 10.5814" Properties=species:S:1:pos:R:3 pbc="T T T"
La 1.8176 1.8176 3.5796
Pr 0.0000 0.0000 0.7228
Nd 1.8176 1.8176 8.5287
Th 0.0000 0.0000 6.0536
```

Computed properties:
ΔH_f (0 K)	29	meV per atom
polymorph energy (0 for the lowest one)	0	meV per atom
calculated volume	34.96	Å³ per atom
magnetic moment	0.00	μB/cell

---

The following is a PBE calculation of a relaxed YGaH crystal, from Alexandria via LeMat-Bulk.

Structure (extended XYZ):
```
6
Lattice="3.2618 0.0000 0.0000 0.0000 3.8731 0.0000 -1.6309 0.0000 7.9254" Properties=species:S:1:pos:R:3 pbc="T T T"
Y 1.6309 2.9048 6.5006
Y 0.0000 0.9683 1.4248
H 0.0000 0.9683 7.1908
H 1.6309 2.9048 0.7346
Ga 1.6309 0.9683 4.2512
Ga 0.0000 2.9048 3.6743
```

Computed properties:
polymorph energy (0 for the lowest one)	0	meV per atom
calculated volume	16.69	Å³ per atom
magnetic moment	0.53	μB/cell

---

The following is a PBE calculation of a relaxed NbRuSe2N crystal, from Alexandria via LeMat-Bulk.

Structure (extended XYZ):
```
5
Lattice="5.1691 0.0000 0.0000 0.0000 5.1691 0.0000 0.0000 0.0000 3.8484" Properties=species:S:1:pos:R:3 pbc="T T T"
Ru 2.5845 2.5845 1.9242
Nb 0.0000 0.0000 0.0000
Se 0.0000 2.5845 0.0000
Se 2.5845 0.0000 0.0000
N 0.0000 0.0000 1.9242
```

Computed properties:
uncorrected formation energy	62.4	kJ per mole of atoms
polymorph energy (0 for the lowest one)	173	meV per atom
calculated volume	20.57	Å³ per atom
magnetic moment	3.33	μB/cell

---

The following is a PBE calculation of a relaxed HfScAu crystal, from Alexandria via LeMat-Bulk.

Structure (extended XYZ):
```
6
Lattice="-2.2064 -3.7421 0.1779 4.3271 -0.0054 0.4243 -1.0627 1.1425 10.8528" Properties=species:S:1:pos:R:3 pbc="T T T"
Sc -0.2657 0.2856 2.7132
Sc -0.7970 0.8569 8.1396
Hf 0.0000 0.0000 0.0000
Hf -0.5313 0.5712 5.4264
Au 1.8836 -0.9653 3.0553
Au -0.8256 -1.6397 8.3996
```

Computed properties:
ΔH_f (0 K)	1155	meV per atom
polymorph energy (0 for the lowest one)	1634	meV per atom
calculated volume	29.92	Å³ per atom
magnetic moment	0.01	μB/cell

---

The following is a PBE calculation of a relaxed Cr2CuAs crystal, from Alexandria via LeMat-Bulk.

Structure (extended XYZ):
```
4
Lattice="4.6454 0.0075 0.0029 -1.8980 4.2400 0.0029 0.3471 0.5365 2.5656" Properties=species:S:1:pos:R:3 pbc="T T T"
As -0.7755 2.3883 1.2843
Cr 0.0000 0.0000 0.0000
Cr 1.3737 2.1237 0.0029
Cu 2.4962 0.2720 1.2843
```

Computed properties:
ΔH_f (0 K)	343	meV per atom
calculated volume	12.64	Å³ per atom
magnetic moment	0.01	μB/cell

---

The following is a PBE calculation of a relaxed Pm2NdZn2Sn2 crystal, from Alexandria via LeMat-Bulk.

Structure (extended XYZ):
```
7
Lattice="-4.1981 -0.6725 -1.9191 -1.3401 -4.2946 -1.2327 -5.6783 -3.0014 7.8043" Properties=species:S:1:pos:R:3 pbc="T T T"
Pm -4.1683 -2.4712 4.3154
Pm -7.0481 -5.4973 0.3372
Nd 0.0000 0.0000 0.0000
Zn -4.6563 -3.6500 0.1267
Zn -6.5602 -4.3185 4.5259
Sn -8.6107 -6.0460 3.9477
Sn -2.6058 -1.9225 0.7049
```

Computed properties:
ΔH_f (0 K)	-386	meV per atom
calculated volume	26.22	Å³ per atom
magnetic moment	0.00	μB/cell

---

The following is a PBE calculation of a relaxed CaScZn2 crystal, from Alexandria via LeMat-Bulk.

Structure (extended XYZ):
```
8
Lattice="7.6881 0.0000 0.0000 0.0000 7.6881 0.0000 3.8440 3.8440 3.3617" Properties=species:S:1:pos:R:3 pbc="T T T"
Sc 0.0000 0.0000 0.0000
Sc 7.6881 3.8440 1.6809
Zn 5.9626 1.9220 0.8404
Zn 1.7254 5.7661 0.8404
Zn 5.7661 5.5695 2.5213
Zn 9.6101 9.8067 2.5213
Ca 3.8440 3.8440 0.0000
Ca 3.8440 7.6881 1.6809
```

Computed properties:
ΔH_f (0 K)	118	meV per atom
calculated volume	24.84	Å³ per atom
magnetic moment	0.00	μB/cell

---

The following is a PBE calculation of a relaxed CaGa2Pb crystal, from Alexandria via LeMat-Bulk.

Structure (extended XYZ):
```
8
Lattice="8.2186 0.0000 0.0000 0.0000 8.2186 0.0000 4.1093 4.1093 3.1592" Properties=species:S:1:pos:R:3 pbc="T T T"
Pb 0.0000 0.0000 0.0000
Pb 8.2186 4.1093 1.5796
Ca 4.1093 4.1093 0.0000
Ca 4.1093 8.2186 1.5796
Ga 6.3635 2.0547 0.7898
Ga 1.8551 6.1640 0.7898
Ga 6.1640 5.9645 2.3694
Ga 10.2733 10.4728 2.3694
```

Computed properties:
ΔH_f (0 K)	-104	meV per atom
calculated volume	26.67	Å³ per atom
magnetic moment	0.00	μB/cell

---

The following is a PBE calculation of a relaxed BeInRe crystal, from Alexandria via LeMat-Bulk.

Structure (extended XYZ):
```
3
Lattice="4.0517 0.0000 0.0000 2.0258 3.5088 0.0000 2.0258 1.1696 3.3082" Properties=species:S:1:pos:R:3 pbc="T T T"
Re 4.0517 2.3392 1.6541
Be 6.0775 3.5088 2.4811
In 0.0000 0.0000 0.0000
```

Computed properties:
ΔH_f (0 K)	720	meV per atom
polymorph energy (0 for the lowest one)	386	meV per atom
calculated volume	15.68	Å³ per atom
magnetic moment	0.00	μB/cell

---

The following is a PBE calculation of a relaxed Ce2Pm3NbN6 crystal, from Alexandria via LeMat-Bulk.

Structure (extended XYZ):
```
12
Lattice="-6.0210 0.3757 -0.5109 2.6116 -5.3463 1.1186 0.7122 2.6199 5.4268" Properties=species:S:1:pos:R:3 pbc="T T T"
Ce -0.2658 -3.4390 0.5755
Ce -3.1436 -1.5315 0.0322
Pm 1.5445 -3.0930 3.5634
Pm -4.2417 0.7424 2.4711
Pm -1.3486 -1.1753 3.0172
Nb 0.0000 0.0000 0.0000
N -3.4213 -0.8874 4.4317
N -2.4334 -3.1817 1.7189
N 0.7241 -1.4631 1.6028
N -0.7142 -2.6818 4.9427
N -0.2638 0.8311 4.3156
N -1.9830 0.3312 1.0918
```

Computed properties:
uncorrected formation energy	-134.0	kJ per mole of atoms
calculated volume	15.16	Å³ per atom
magnetic moment	0.00	μB/cell

---

The following is a PBE calculation of a relaxed Mg7TlBi2Pb2 crystal, from Alexandria via LeMat-Bulk.

Structure (extended XYZ):
```
12
Lattice="-1.4361 4.2173 1.5955 -4.2859 -1.7911 0.9036 -1.6745 -1.0275 15.8196" Properties=species:S:1:pos:R:3 pbc="T T T"
Mg -2.8610 1.2131 1.2496
Mg -2.2635 0.0906 8.5358
Mg -5.1330 1.3080 9.7829
Mg -2.9523 2.7976 4.0525
Mg -4.3803 -0.2131 3.7058
Mg -3.0162 1.6118 14.6129
Mg -4.4442 -1.3989 14.2662
Tl 0.0000 0.0000 0.0000
Bi -4.4482 1.3423 6.6644
Bi -2.9483 0.0563 11.6543
Pb -5.8085 1.2689 12.9048
Pb -1.5880 0.1297 5.4140
```

Computed properties:
ΔH_f (0 K)	-14	meV per atom
calculated volume	26.76	Å³ per atom
magnetic moment	0.00	μB/cell

---

The following is a PBE calculation of a relaxed Ac3In4Hg4 crystal, from Alexandria via LeMat-Bulk.

Structure (extended XYZ):
```
11
Lattice="-3.8386 0.0909 2.1173 -2.3541 -0.9988 -4.2324 -1.9261 -15.2015 1.7031" Properties=species:S:1:pos:R:3 pbc="T T T"
Ac -3.4589 -11.3827 -1.2410
Ac -4.6608 -4.7261 0.8292
Ac -6.1923 -0.9084 -2.1153
In -4.1859 -12.3755 2.2941
In -2.4906 -7.7028 0.3138
In -5.6279 -8.4066 -0.7261
In -3.9344 -3.7342 -2.7053
Hg -4.9680 -14.2395 0.2818
Hg -3.1500 -1.8694 -0.6945
Hg -3.8510 -6.4969 -2.0784
Hg -4.2674 -9.6131 1.6661
```

Computed properties:
ΔH_f (0 K)	-402	meV per atom
calculated volume	29.66	Å³ per atom
magnetic moment	0.00	μB/cell

---

The following is a PBE calculation of a relaxed Co2TcIr crystal, from Alexandria via LeMat-Bulk.

Structure (extended XYZ):
```
4
Lattice="4.5558 0.0001 0.0000 1.5960 4.2671 0.0000 -3.0759 -2.1336 2.5965" Properties=species:S:1:pos:R:3 pbc="T T T"
Co 0.0000 0.0000 0.0000
Co 0.7980 2.1336 1.2983
Ir 3.0759 2.1336 0.0000
Tc 2.2779 0.0001 1.2983
```

Computed properties:
ΔH_f (0 K)	-18	meV per atom
polymorph energy (0 for the lowest one)	0	meV per atom
calculated volume	12.62	Å³ per atom
magnetic moment	2.02	μB/cell

---

The following is a PBE calculation of a relaxed PuAlTl2Se4 crystal, from Alexandria via LeMat-Bulk.

Structure (extended XYZ):
```
16
Lattice="8.5299 -0.0152 -0.3139 -0.0212 8.5299 -0.3139 -4.3892 -4.3923 6.3378" Properties=species:S:1:pos:R:3 pbc="T T T"
Pu -0.0106 4.2649 -0.1569
Pu 6.3247 2.0537 2.6980
Al 2.0598 2.0612 2.8550
Al 4.1407 -4.4074 6.0239
Tl 4.2650 -0.0076 -0.1569
Tl 2.0704 -2.2037 3.0119
Tl -2.1946 -2.1961 3.1689
Tl 4.2544 4.2573 -0.3139
Se -2.6147 2.1583 5.8956
Se 4.0403 0.2671 2.9832
Se 0.0792 3.8553 2.7267
Se 6.7344 1.9641 -0.1856
Se 2.2958 2.1493 5.5359
Se 4.0317 3.8864 3.0291
Se 0.0879 0.2362 2.6809
Se 1.8237 1.9732 0.1741
```

Computed properties:
uncorrected formation energy	-74.9	kJ per mole of atoms
calculated volume	27.35	Å³ per atom
magnetic moment	9.97	μB/cell

---

The following is a PBE calculation of a relaxed La2Y3Pb4 crystal, from Alexandria via LeMat-Bulk.

Structure (extended XYZ):
```
18
Lattice="-1.3172 5.1395 6.3807 3.1905 -7.4695 2.6590 7.8970 3.0725 -0.8446" Properties=species:S:1:pos:R:3 pbc="T T T"
La 2.4119 2.4199 3.8054
La 7.8190 1.3278 7.4604
La 7.3585 -1.6773 4.3897
La 1.9513 -0.5853 0.7348
Y 5.5438 -2.1985 0.9072
Y 0.9367 -1.1650 4.5199
Y 6.4475 4.5506 4.6685
Y 4.0946 -0.6818 6.5640
Y 3.3228 -3.8080 3.5266
Y 5.6757 1.4243 1.6311
Pb 3.4587 5.3153 5.1054
Pb 2.3742 -3.2788 6.6308
Pb 6.3117 -4.5728 3.0897
Pb 7.3962 4.0213 1.5643
Pb 1.5442 1.1636 6.6806
Pb 5.8247 1.4706 4.8913
Pb 8.2262 -0.4211 1.5145
Pb 3.9456 -0.7280 3.3038
```

Computed properties:
ΔH_f (0 K)	-650	meV per atom
polymorph energy (0 for the lowest one)	0	meV per atom
calculated volume	31.29	Å³ per atom
magnetic moment	0.00	μB/cell

---

The following is a PBE calculation of a relaxed VTeOs3 crystal, from Alexandria via LeMat-Bulk.

Structure (extended XYZ):
```
5
Lattice="4.7707 0.0000 0.0000 0.0000 4.7707 0.0000 0.0000 0.0000 4.7707" Properties=species:S:1:pos:R:3 pbc="T T T"
Te 0.0000 0.0000 0.0000
Os 0.0000 2.3853 0.0000
Os 0.0000 0.0000 2.3853
Os 2.3853 0.0000 0.0000
V 2.3853 2.3853 2.3853
```

Computed properties:
uncorrected formation energy	234.1	kJ per mole of atoms
polymorph energy (0 for the lowest one)	737	meV per atom
calculated volume	21.72	Å³ per atom
magnetic moment	1.87	μB/cell

---

The following is a PBE calculation of a relaxed AgHg2Bi crystal, from Alexandria via LeMat-Bulk.

Structure (extended XYZ):
```
4
Lattice="4.7092 0.0000 0.0000 2.3546 4.0783 0.0000 2.3546 1.3594 5.5313" Properties=species:S:1:pos:R:3 pbc="T T T"
Ag 7.0638 4.0783 5.3981
Hg 2.3546 1.3594 4.4519
Hg 2.3546 1.3594 1.0850
Bi 4.7092 2.7189 2.8933
```

Computed properties:
ΔH_f (0 K)	152	meV per atom
calculated volume	26.56	Å³ per atom
magnetic moment	0.00	μB/cell